Entry 1:
A plane-wave DFT calculation with PBE-GGA was carried out for a relaxed structure of ZrPbN2F.

```
ZrPbN2F
1.0
-0.337 -2.107 -3.829
4.223 -1.147 0.259
-1.084 -3.532 2.039
Pb N Zr F
1 2 1 1
Direct
0.000 0.000 0.000
0.000 0.500 0.000
0.500 0.000 0.000
0.500 0.500 0.500
0.000 0.000 0.500
```

Summary:
The raw formation energy is 0.51 eV per atom. For the size of the total moment, the calculation gives 0.152 μB/atom. Its crystal system is tetragonal.


Entry 2:
A plane-wave DFT calculation with PBE-GGA was carried out for a relaxed structure of PdNF3.

```
PdNF3
1.0
-1.312 -0.743 -3.553
3.048 -2.276 -0.650
-1.970 -3.027 1.360
N Pd F
1 1 3
Direct
0.000 0.000 0.000
0.500 0.500 0.500
0.000 0.500 0.000
0.000 0.000 0.500
0.500 0.000 0.000
```

Summary:
The raw formation energy is 0.57 eV per atom. For the size of the total moment, the calculation gives 0.419 μB/atom. Its crystal system is cubic.


Entry 3:
A plane-wave DFT calculation with PBE-GGA was carried out for a relaxed structure of PdN2F2.

```
PdN2F2
1.0
4.133 0.000 0.000
0.000 4.133 0.000
0.000 0.000 4.008
N Pd F
2 1 2
Direct
0.500 0.500 0.500
0.000 0.000 0.500
0.000 0.000 0.000
0.000 0.500 0.000
0.500 0.000 0.000
```

Summary:
The raw formation energy is 1.04 eV per atom. For the size of the total moment, the calculation gives 0.205 μB/atom. Its crystal system is tetragonal.


Entry 4:
A plane-wave DFT calculation with PBE-GGA was carried out for a relaxed structure of PdNF3.

```
PdNF3
1.0
-4.685 0.331 4.407
2.663 -6.459 3.317
2.988 6.488 2.689
Pd N F
4 4 12
Direct
0.750 0.500 0.500
0.250 0.500 0.500
0.250 0.000 0.000
0.750 0.000 0.000
0.750 0.488 0.991
0.250 0.512 0.009
0.250 0.012 0.509
0.750 0.988 0.491
0.750 0.250 0.250
0.250 0.750 0.750
0.250 0.250 0.250
0.750 0.750 0.750
0.500 0.595 0.400
0.500 0.405 0.600
0.000 0.905 0.100
0.000 0.095 0.900
0.000 0.595 0.400
0.000 0.405 0.600
0.500 0.905 0.100
0.500 0.095 0.900
```

Summary:
The raw formation energy is 0.08 eV per atom. For the size of the total moment, the calculation gives 0.690 μB/atom. Its crystal system is monoclinic.


Entry 5:
A plane-wave DFT calculation with PBE-GGA was carried out for a relaxed structure of PdN3F12.

```
PdN3F12
1.0
-3.668 -6.249 2.220
0.152 -2.098 7.281
-11.236 3.882 5.298
Pd N F
2 6 24
Direct
0.082 0.082 0.754
0.582 0.582 0.254
0.727 0.332 0.004
0.227 0.437 0.504
0.832 0.227 0.504
0.332 0.937 0.004
0.937 0.727 0.004
0.437 0.832 0.504
0.168 0.110 0.036
0.186 0.281 0.665
0.990 0.051 0.472
0.883 0.296 0.843
0.383 0.478 0.343
0.490 0.987 0.972
0.686 0.369 0.165
0.051 0.487 0.472
0.668 0.187 0.536
0.869 0.186 0.665
0.796 0.383 0.343
0.187 0.610 0.536
0.987 0.551 0.972
0.687 0.168 0.036
0.296 0.978 0.843
0.369 0.781 0.165
0.781 0.686 0.165
0.551 0.490 0.972
0.610 0.668 0.536
0.978 0.883 0.843
0.478 0.796 0.343
0.110 0.687 0.036
0.281 0.869 0.665
0.487 0.990 0.472
```

Summary:
The raw formation energy is -0.52 eV per atom. For the size of the total moment, the calculation gives 0.064 μB/atom. Its crystal system is trigonal.


Entry 6:
A plane-wave DFT calculation with PBE-GGA was carried out for a relaxed structure of Pd2NF.

```
Pd2NF
1.0
-3.185 -1.891 -1.533
-3.543 1.867 -0.184
-1.487 1.131 -3.547
N Pd F
1 2 1
Direct
0.000 0.000 0.000
0.250 0.250 0.250
0.750 0.750 0.750
0.500 0.500 0.500
```

Summary:
The raw formation energy is 0.52 eV per atom. For the size of the total moment, the calculation gives 0.000 μB/atom. Its crystal system is cubic.


Entry 7:
A plane-wave DFT calculation with PBE-GGA was carried out for a relaxed structure of Pd2N2F3.

```
Pd2N2F3
1.0
-1.178 -3.168 2.663
-2.457 -13.088 4.577
6.189 2.052 0.075
Pd N F
2 2 3
Direct
0.013 0.245 0.880
0.987 0.755 0.120
0.621 0.941 0.416
0.379 0.059 0.584
0.500 0.000 0.000
0.593 0.459 0.186
0.407 0.541 0.814
```

Summary:
The raw formation energy is -0.66 eV per atom. For the size of the total moment, the calculation gives 0.000 μB/atom. Its crystal system is triclinic.


Entry 8:
A plane-wave DFT calculation with PBE-GGA was carried out for a relaxed structure of PdN2F2.

```
PdN2F2
1.0
3.589 0.000 0.000
0.000 3.589 0.000
0.000 0.000 4.731
N Pd F
2 1 2
Direct
0.000 0.500 0.000
0.500 0.000 0.000
0.500 0.500 0.500
0.000 0.000 0.000
0.000 0.000 0.500
```

Summary:
The raw formation energy is 1.89 eV per atom. For the size of the total moment, the calculation gives 0.840 μB/atom. Its crystal system is tetragonal.


Entry 9:
A plane-wave DFT calculation with PBE-GGA was carried out for a relaxed structure of PdN2F3.

```
PdN2F3
1.0
-4.035 -0.455 -1.025
6.638 -7.491 2.462
4.549 -0.909 7.194
Pd N F
2 4 6
Direct
0.814 0.685 0.027
0.186 0.315 0.973
0.659 0.828 0.446
0.646 0.223 0.702
0.354 0.777 0.298
0.341 0.172 0.554
0.680 0.321 0.964
0.320 0.679 0.036
0.839 0.918 0.807
0.730 0.428 0.231
0.270 0.572 0.769
0.161 0.082 0.193
```

Summary:
The raw formation energy is -0.76 eV per atom. For the size of the total moment, the calculation gives 0.045 μB/atom. Its crystal system is triclinic.


Entry 10:
A plane-wave DFT calculation with PBE-GGA was carried out for a relaxed structure of PdN2F2.

```
PdN2F2
1.0
3.091 0.246 0.061
1.243 4.114 -0.031
0.700 -1.885 7.950
Pd N F
1 2 2
Direct
0.000 0.000 0.000
0.413 0.637 0.536
0.587 0.363 0.464
0.679 0.695 0.892
0.321 0.305 0.108
```

Summary:
The raw formation energy is -0.62 eV per atom. For the size of the total moment, the calculation gives 0.000 μB/atom. Its crystal system is triclinic.


Entry 11:
A plane-wave DFT calculation with PBE-GGA was carried out for a relaxed structure of Pd2NF.

```
Pd2NF
1.0
5.525 0.000 0.000
0.000 5.525 0.000
2.763 2.763 3.810
N Pd F
2 4 2
Direct
0.500 0.500 0.000
0.250 0.750 0.500
0.554 0.125 0.250
0.196 0.625 0.250
0.375 0.446 0.750
0.875 0.804 0.750
0.000 0.000 0.000
0.750 0.250 0.500
```

Summary:
The raw formation energy is 0.01 eV per atom. For the size of the total moment, the calculation gives 0.000 μB/atom. Its crystal system is tetragonal.


Entry 12:
A plane-wave DFT calculation with PBE-GGA was carried out for a relaxed structure of PdNF3.

```
PdNF3
1.0
-3.749 1.587 0.460
-1.139 -1.658 -3.569
-1.196 -3.393 1.958
N Pd F
1 1 3
Direct
0.500 0.500 0.500
0.000 0.000 0.000
0.000 0.500 0.000
0.000 0.000 0.500
0.500 0.000 0.000
```

Summary:
The raw formation energy is 0.58 eV per atom. For the size of the total moment, the calculation gives 0.000 μB/atom. Its crystal system is cubic.


The highest size of the total moment belongs to which entry?
number 8


Among the records above, which one has the highest size of the total moment?
number 8


Which value of raw formation energy does entry 3 give?
1.04 eV per atom


Number 7 is which compound?
Pd2N2F3